Model a:
VASP calculation (PBE) on a relaxed ScTlZnTe3 crystal.

Properties
spin magnetization	0.0	μB per formula unit
SG	Cmcm
calculated density	6.3	Mg/m³
volume	183.3	Å³/f.u.

Structure (extended XYZ):
```
12
Lattice="2.114 -7.763 0.000 2.114 7.763 0.000 0.000 0.000 11.169" Properties=species:S:1:pos:R:3 pbc="T T T"
Sc 0.000 0.000 0.000
Sc 0.000 0.000 5.584
Tl 2.114 4.003 8.376
Tl 2.114 -4.003 2.792
Zn 2.114 0.566 2.792
Zn 2.114 -0.566 8.376
Te 2.114 6.652 2.792
Te 2.114 2.005 0.570
Te 2.114 2.005 5.014
Te 2.114 -2.005 6.154
Te 2.114 -2.005 10.599
Te 2.114 -6.652 8.376
```

Model b:
VASP calculation (PBE) on a relaxed ScTlZnTe3 crystal.

Properties
spin magnetization	0.0	μB per formula unit
SG	C2/m
calculated density	6.3	Mg/m³
volume	185.2	Å³/f.u.

Structure (extended XYZ):
```
12
Lattice="9.626 -2.131 0.000 9.626 2.131 0.000 -1.801 0.000 9.029" Properties=species:S:1:pos:R:3 pbc="T T T"
Sc 3.233 0.000 0.660
Sc 14.217 0.000 8.368
Tl 1.627 0.000 5.098
Tl 15.823 0.000 3.930
Zn 7.610 0.000 7.059
Zn 9.840 0.000 1.969
Te 0.000 0.000 0.000
Te 6.052 0.000 1.284
Te 5.038 0.000 6.409
Te 8.725 0.000 4.514
Te 12.413 0.000 2.620
Te 11.399 0.000 7.745
```

Ranking the structures above by energy, model a is first and the second is 0.118 eV/atom behind.